# PBE LiUAs2, relaxed
data_LiUAs2
_cell_length_a 6.7677
_cell_length_b 6.7677
_cell_length_c 6.7677
_cell_angle_alpha 90.00
_cell_angle_beta 90.00
_cell_angle_gamma 90.00
_space_group_name_H-M_alt 'F m -3 m'
_space_group_IT_number 225
_space_group_name_Hall '-F 4 2 3'
loop_
_atom_site_label
_atom_site_type_symbol
_atom_site_fract_x
_atom_site_fract_y
_atom_site_fract_z
Li1 Li 0.0000 0.0000 0.0000
U1 U 0.0000 0.0000 0.5000
As1 As 0.2500 0.2500 0.2500
# V in Å³/atom: 19.37
# ΔE_f in eV/atom: -0.526
# VASP energy in eV per cell: -98.43
# Relative energy among the computed polymorphs in meV per atom: 125